No. 1
Density functional theory data (PBE-GGA) for a geometry-optimized NiTe2Cl structure.

```
data_NiTe2Cl
_chemical_formula_sum 'Ni1 Te2 Cl1'
_symmetry_space_group_name_H-M 'P 4/m m m'
_symmetry_Int_Tables_number 123
_symmetry_space_group_name_Hall '-P 4 2'
_cell_length_a 4.084
_cell_length_b 4.084
_cell_length_c 6.845
_cell_angle_alpha 90.00
_cell_angle_beta 90.00
_cell_angle_gamma 90.00
loop_
_atom_site_label
_atom_site_type_symbol
_atom_site_fract_x
_atom_site_fract_y
_atom_site_fract_z
Ni1 Ni 0.000 0.000 0.000
Te1 Te 0.000 0.500 0.500
Cl1 Cl 0.500 0.500 0.000
```

Calculated values
Energy relative to the elements, uncorrected: 503 meV per atom
Mass density: 5.1 g cm⁻³
M_tot: 1.2 Bohr magnetons per cell
Fermi-level density of states: 6.5 states/eV/cell

---

No. 2
Density functional theory data (PBE-GGA) for a geometry-optimized ThScReNi structure.

```
data_ThScReNi
_chemical_formula_sum 'Th4 Sc4 Re4 Ni4'
_symmetry_space_group_name_H-M 'F -4 3 m'
_symmetry_Int_Tables_number 216
_symmetry_space_group_name_Hall 'F -4 2 3'
_cell_length_a 6.776
_cell_length_b 6.776
_cell_length_c 6.776
_cell_angle_alpha 90.00
_cell_angle_beta 90.00
_cell_angle_gamma 90.00
loop_
_atom_site_label
_atom_site_type_symbol
_atom_site_fract_x
_atom_site_fract_y
_atom_site_fract_z
Th1 Th 0.000 0.000 0.000
Sc1 Sc 0.000 0.000 0.500
Re1 Re 0.250 0.250 0.250
Ni1 Ni 0.250 0.250 0.750
```

Calculated values
Mass density: 11.1 g cm⁻³
M_tot: 0.0 Bohr magnetons per cell
Fermi-level density of states: 10.8 states/eV/cell
E_form: -0.176 eV per atom

---

No. 3
Density functional theory data (PBE-GGA) for a geometry-optimized Y2Sc2PPb2 structure.

```
data_Y2Sc2PPb2
_chemical_formula_sum 'Y4 Sc4 P2 Pb4'
_symmetry_space_group_name_H-M 'I 4/m m m'
_symmetry_Int_Tables_number 139
_symmetry_space_group_name_Hall '-I 4 2'
_cell_length_a 4.831
_cell_length_b 4.831
_cell_length_c 16.099
_cell_angle_alpha 90.00
_cell_angle_beta 90.00
_cell_angle_gamma 90.00
loop_
_atom_site_label
_atom_site_type_symbol
_atom_site_fract_x
_atom_site_fract_y
_atom_site_fract_z
Y1 Y 0.000 0.000 0.168
Sc1 Sc 0.000 0.500 0.000
P1 P 0.000 0.000 0.000
Pb1 Pb 0.000 0.000 0.366
```

Calculated values
Mass density: 6.3 g cm⁻³
M_tot: 0.0 Bohr magnetons per cell
Fermi-level density of states: 9.3 states/eV/cell
E_form: -0.784 eV per atom

---

No. 4
Density functional theory data (PBE-GGA) for a geometry-optimized MnAuCl2 structure.

```
data_MnAuCl2
_chemical_formula_sum 'Mn2 Au2 Cl4'
_symmetry_space_group_name_H-M 'I -4 m 2'
_symmetry_Int_Tables_number 119
_symmetry_space_group_name_Hall 'I -4 -2'
_cell_length_a 3.772
_cell_length_b 3.772
_cell_length_c 11.440
_cell_angle_alpha 90.00
_cell_angle_beta 90.00
_cell_angle_gamma 90.00
loop_
_atom_site_label
_atom_site_type_symbol
_atom_site_fract_x
_atom_site_fract_y
_atom_site_fract_z
Mn1 Mn 0.000 0.000 0.000
Au1 Au 0.000 0.500 0.750
Cl1 Cl 0.000 0.000 0.500
Cl2 Cl 0.000 0.500 0.250
```

Calculated values
Energy relative to the elements, uncorrected: 35 meV per atom
Mass density: 6.6 g cm⁻³
M_tot: 9.1 Bohr magnetons per cell
Fermi-level density of states: 3.9 states/eV/cell
Energy above the most stable polymorph in this dataset: 470 meV per atom

---

No. 5
Density functional theory data (PBE-GGA) for a geometry-optimized NaTlS14 structure.

```
data_NaTlS14
_chemical_formula_sum 'Na4 Tl4 S56'
_symmetry_space_group_name_H-M 'C 1 2/c 1'
_symmetry_Int_Tables_number 15
_cell_length_a 20.692
_cell_length_b 10.916
_cell_length_c 9.078
_cell_angle_alpha 90.00
_cell_angle_beta 106.34
_cell_angle_gamma 90.00
loop_
_symmetry_equiv_pos_as_xyz
'x,y,z'
'-x,-y,-z'
'-x,y,-z+1/2'
'x,-y,z+1/2'
'x+1/2,y+1/2,z'
'-x+1/2,-y+1/2,-z'
'-x+1/2,y+1/2,-z+1/2'
'x+1/2,-y+1/2,z+1/2'
loop_
_atom_site_label
_atom_site_type_symbol
_atom_site_fract_x
_atom_site_fract_y
_atom_site_fract_z
Na1 Na 0.000 0.000 0.000
Tl1 Tl 0.000 0.488 0.250
S1 S 0.001 0.245 0.139
S2 S 0.055 0.223 0.784
S3 S 0.086 0.052 0.805
S4 S 0.175 0.498 0.717
S5 S 0.187 0.196 0.208
S6 S 0.205 0.338 0.355
S7 S 0.222 0.356 0.846
```

Calculated values
Energy relative to the elements, uncorrected: -20 meV per atom
Mass density: 2.3 g cm⁻³
M_tot: 0.1 Bohr magnetons per cell
Fermi-level density of states: 6.0 states/eV/cell

---

No. 6
Density functional theory data (PBE-GGA) for a geometry-optimized ErHg2Pd5 structure.

```
data_ErHg2Pd5
_chemical_formula_sum 'Er4 Hg8 Pd20'
_symmetry_space_group_name_H-M 'I 4/m c m'
_symmetry_Int_Tables_number 140
_symmetry_space_group_name_Hall '-I 4 2c'
_cell_length_a 7.264
_cell_length_b 7.264
_cell_length_c 11.174
_cell_angle_alpha 90.00
_cell_angle_beta 90.00
_cell_angle_gamma 90.00
loop_
_atom_site_label
_atom_site_type_symbol
_atom_site_fract_x
_atom_site_fract_y
_atom_site_fract_z
Er1 Er 0.000 0.000 0.250
Hg1 Hg 0.154 0.346 0.000
Pd1 Pd 0.000 0.000 0.000
Pd2 Pd 0.144 0.356 0.331
```

Calculated values
Mass density: 12.4 g cm⁻³
M_tot: 0.0 Bohr magnetons per cell
Fermi-level density of states: 9.5 states/eV/cell
Energy above the most stable polymorph in this dataset: 102 meV per atom
E_form: -0.402 eV per atom